#i
Entry from Alexandria via LeMat-Bulk: a relaxed structure of AlCdGa2As (PBE-GGA).

The structure belongs to space group P4/mmm (No. 123); the cell edges are 5.167, 5.167 and 4.893 Å and the angles 90.00°, 90.00° and 90.00°. Symmetry generates all atoms from Al at (0.000, 0.000, 0.000), Cd at (0.500, 0.500, 0.000), Ga at (0.000, 0.500, 0.500) and As at (0.000, 0.000, 0.500).

The calculation puts the spin magnetization at 0.0 μB per formula unit. The density of states at the Fermi level is 3.04 states/eV/cell.

#ii
Entry from Alexandria via LeMat-Bulk: a relaxed structure of AlCdGa2As (PBE-GGA).

The structure belongs to space group P4/mmm (No. 123); the cell edges are 5.165, 5.165 and 5.233 Å and the angles 90.00°, 90.00° and 90.00°. Symmetry generates all atoms from Al at (0.000, 0.000, 0.000), Cd at (0.500, 0.500, 0.500), Ga at (0.000, 0.500, 0.500) and As at (0.500, 0.500, 0.000).

The calculation puts the spin magnetization at 0.0 μB per formula unit. The density of states at the Fermi level is 1.14 states/eV/cell.

Computed energies relative to the best structure, in kJ/mol of atoms: #i 0.0; #ii 22.9

#i
Entry from Alexandria via LeMat-Bulk: a relaxed structure of AlCdAs2Se (PBE-GGA).

The structure belongs to space group P4/mmm (No. 123); the cell edges are 5.172, 5.172 and 5.343 Å and the angles 90.00°, 90.00° and 90.00°. Symmetry generates all atoms from Al at (0.000, 0.000, 0.000), Cd at (0.500, 0.500, 0.500), As at (0.000, 0.500, 0.500) and Se at (0.500, 0.500, 0.000).

The calculation puts the spin magnetization at 1.0 μB per formula unit. The density of states at the Fermi level is 5.75 states/eV/cell.

#ii
Entry from Alexandria via LeMat-Bulk: a relaxed structure of AlCdAs2Se (PBE-GGA).

The structure belongs to space group P4/mmm (No. 123); the cell edges are 5.142, 5.142 and 5.138 Å and the angles 90.00°, 90.00° and 90.00°. Symmetry generates all atoms from Al at (0.000, 0.000, 0.000), Cd at (0.500, 0.500, 0.000), As at (0.000, 0.500, 0.500) and Se at (0.500, 0.500, 0.500).

The calculation puts the spin magnetization at 0.0 μB per formula unit. The density of states at the Fermi level is 2.54 states/eV/cell.

#iii
Entry from Alexandria via LeMat-Bulk: a relaxed structure of AlCdAs2Se (PBE-GGA).

The structure belongs to space group P4/mmm (No. 123); the cell edges are 4.900, 4.900 and 4.941 Å and the angles 90.00°, 90.00° and 90.00°. Symmetry generates all atoms from Al at (0.000, 0.000, 0.000), Cd at (0.500, 0.500, 0.500), As at (0.000, 0.500, 0.000) and Se at (0.000, 0.000, 0.500).

The calculation puts the spin magnetization at 0.0 μB per formula unit. The density of states at the Fermi level is 4.63 states/eV/cell.

Computed energies relative to the best structure, in kJ/mol of atoms: #i 50.1; #ii 33.7; #iii 0.0

#i
Entry from Alexandria via LeMat-Bulk: a relaxed structure of AlAs2Cl (PBE-GGA).

The structure belongs to space group P4/mmm (No. 123); the cell edges are 3.364, 3.364 and 7.106 Å and the angles 90.00°, 90.00° and 90.00°. Symmetry generates all atoms from Al at (0.000, 0.000, 0.000), As at (0.500, 0.500, 0.190) and Cl at (0.000, 0.000, 0.500).

The calculation puts the spin magnetization at 0.0 μB per formula unit. The density of states at the Fermi level is 2.87 states/eV/cell.

#ii
Entry from Alexandria via LeMat-Bulk: a relaxed structure of AlAs2Cl (PBE-GGA).

The structure belongs to space group R-3m (No. 166, hexagonal axes); the cell edges are 3.2355, 3.2355 and 25.5498 Å and the angles 90.00°, 90.00° and 120.00°. Symmetry generates all atoms from Al at (0.0000, 0.0000, 0.0000), As at (0.0000, 0.0000, 0.2557) and Cl at (0.0000, 0.0000, 0.5000).

The calculation puts the spin magnetization at 0.0 μB per formula unit. The density of states at the Fermi level is 7.40 states/eV/cell.

#iii
Entry from Alexandria via LeMat-Bulk: a relaxed structure of AlAs2Cl (PBE-GGA).

The structure belongs to space group F-43m (No. 216); the cell edges are 6.734, 6.734 and 6.734 Å and the angles 90.00°, 90.00° and 90.00°. Symmetry generates all atoms from Al at (0.000, 0.000, 0.000), As at (0.000, 0.000, 0.500), As at (0.250, 0.250, 0.250) and Cl at (0.250, 0.250, 0.750).

The calculation puts the spin magnetization at 0.0 μB per formula unit. The density of states at the Fermi level is 10.92 states/eV/cell.

Computed energies relative to the best structure, in kJ/mol of atoms: #i 0.0; #ii 14.0; #iii 15.9

#i
Entry from Alexandria via LeMat-Bulk: a relaxed structure of AlAsSe2Cl (PBE-GGA).

The structure belongs to space group P4/mmm (No. 123); the cell edges are 4.786, 4.786 and 5.180 Å and the angles 90.00°, 90.00° and 90.00°. Symmetry generates all atoms from Al at (0.000, 0.000, 0.000), As at (0.000, 0.000, 0.500), Se at (0.000, 0.500, 0.000) and Cl at (0.500, 0.500, 0.500).

The calculation puts the spin magnetization at 0.0 μB per formula unit. The density of states at the Fermi level is 4.73 states/eV/cell.

#ii
Entry from Alexandria via LeMat-Bulk: a relaxed structure of AlAsSe2Cl (PBE-GGA).

The structure belongs to space group P4/mmm (No. 123); the cell edges are 5.235, 5.235 and 4.701 Å and the angles 90.00°, 90.00° and 90.00°. Symmetry generates all atoms from Al at (0.000, 0.000, 0.000), As at (0.500, 0.500, 0.000), Se at (0.000, 0.500, 0.500) and Cl at (0.500, 0.500, 0.500).

The calculation puts the spin magnetization at 0.0 μB per formula unit. The density of states at the Fermi level is 8.81 states/eV/cell.

Computed energies relative to the best structure, in kJ/mol of atoms: #i 0.0; #ii 63.3